Compound: CsRb2Mg2
Source: Alexandria
Functional: PBE
Structure: relaxed

abc: 6.1209 6.1209 16.8342
angles: 90.00 90.00 90.00
Closest atoms and distances in Å follow each position.
Space group I4/mmm (No. 139)
Unique sites:
Cs 0.0000 0.0000 0.0000 (multiplicity 2)  8 Mg 4.59
Rb 0.0000 0.5000 0.2500 (multiplicity 4)  4 Mg 4.07, 4 Rb 4.33
Mg 0.0000 0.0000 0.4097 (multiplicity 4)  1 Mg 3.04

- calculated density (g cm⁻³) = 1.9
- energy of formation from the pure elements (eV/atom) = 0.241
- excess energy over the best structure of this formula in the dataset (meV per atom) = 28
- electronic total energy (eV/cell) = -9.545
- crystal system = tetragonal

***

Compound: Cs3RbMg
Source: Alexandria
Functional: PBE
Structure: relaxed

abc: 8.7268 8.7268 8.7268
angles: 90.00 90.00 90.00
Closest atoms and distances in Å follow each position.
Space group Pm-3m (No. 221)
Unique sites:
Cs 0.0000 0.0000 0.5000 (multiplicity 3)  2 Rb 4.36
Rb 0.0000 0.0000 0.0000 (multiplicity 1)  6 Cs 4.36
Mg 0.5000 0.5000 0.5000 (multiplicity 1)  none within 6

- calculated density (g cm⁻³) = 1.3
- energy of formation from the pure elements (eV/atom) = 0.425
- excess energy over the best structure of this formula in the dataset (meV per atom) = 243
- electronic total energy (eV/cell) = -2.999
- crystal system = cubic

***

Compound: CsRbMg6
Source: Alexandria
Functional: PBE
Structure: relaxed

abc: 6.9008 5.0872 8.3549
angles: 90.00 101.42 90.00
Closest atoms and distances in Å follow each position.
Space group Pm (No. 6)
Unique sites:
Cs 0.0000 0.0000 0.0000 (multiplicity 1)  2 Rb 3.44-3.46
Rb 0.5014 0.0000 0.0008 (multiplicity 1)  2 Cs 3.44-3.46
Mg 0.1326 0.0000 0.4811 (multiplicity 1)  7 Mg 3.07-3.40
Mg 0.1856 0.5000 0.6910 (multiplicity 1)  5 Mg 3.07-3.33
Mg 0.3464 0.5000 0.3575 (multiplicity 1)  8 Mg 3.17-3.46
Mg 0.6231 0.0000 0.4720 (multiplicity 1)  7 Mg 3.09-3.40
Mg 0.6674 0.5000 0.6856 (multiplicity 1)  5 Mg 3.09-3.33
Mg 0.8507 0.5000 0.3696 (multiplicity 1)  8 Mg 3.15-3.46

- calculated density (g cm⁻³) = 2.1
- energy of formation from the pure elements (eV/atom) = 0.231
- excess energy over the best structure of this formula in the dataset (meV per atom) = 17
- electronic total energy (eV/cell) = -9.540
- crystal system = monoclinic

***

Compound: CsRbMg14
Source: Alexandria
Functional: PBE
Structure: relaxed

abc: 11.3208 6.6272 11.6978
angles: 90.00 90.00 90.00
Closest atoms and distances in Å follow each position.
Space group Amm2 (No. 38)
Unique sites:
Cs 0.0000 0.0000 0.0000 (multiplicity 2)  2 Rb 3.31, 8 Mg 3.36-3.69
Rb 0.0000 0.0000 0.5006 (multiplicity 2)  2 Cs 3.31, 8 Mg 3.36-3.69
Mg 0.0000 0.2499 0.2500 (multiplicity 4)  6 Mg 3.30-3.31, 2 Rb 3.36-3.37, 2 Cs 3.36
Mg 0.2516 0.0000 0.2653 (multiplicity 4)  11 Mg 3.30-3.39
Mg 0.2530 0.0000 0.7609 (multiplicity 4)  11 Mg 3.30-3.44
Mg 0.2907 0.2493 0.5154 (multiplicity 8)  9 Mg 3.10-3.44
Mg 0.5000 0.0000 0.1106 (multiplicity 2)  10 Mg 3.10-3.34
Mg 0.5000 0.0000 0.6107 (multiplicity 2)  10 Mg 3.10-3.31
Mg 0.5000 0.2498 0.3445 (multiplicity 4)  10 Mg 3.10-3.40

- calculated density (g cm⁻³) = 2.1
- energy of formation from the pure elements (eV/atom) = 0.206
- excess energy over the best structure of this formula in the dataset (meV per atom) = 0
- electronic total energy (eV/cell) = -41.685
- crystal system = orthorhombic

***

Compound: CsRbMg2
Source: Alexandria
Functional: PBE
Structure: relaxed

abc: 9.5062 9.5062 9.5062
angles: 90.00 90.00 90.00
Closest atoms and distances in Å follow each position.
Space group Fm-3m (No. 225)
Unique sites:
Cs 0.0000 0.0000 0.0000 (multiplicity 4)  8 Mg 4.12
Rb 0.0000 0.0000 0.5000 (multiplicity 4)  8 Mg 4.12
Mg 0.2500 0.2500 0.2500 (multiplicity 8)  4 Rb 4.12, 4 Cs 4.12

- calculated density (g cm⁻³) = 2.1
- energy of formation from the pure elements (eV/atom) = 0.319
- electronic total energy (eV/cell) = -14.934
- crystal system = cubic

***

Compound: CsRb2MgSb
Source: Alexandria
Functional: PBE
Structure: relaxed

abc: 7.3121 7.3121 5.7192
angles: 90.00 90.00 90.00
Closest atoms and distances in Å follow each position.
Space group P4/mmm (No. 123)
Unique sites:
Cs 0.0000 0.0000 0.0000 (multiplicity 1)  8 Rb 4.64, 4 Mg 5.17
Rb 0.0000 0.5000 0.5000 (multiplicity 2)  2 Sb 3.66
Mg 0.5000 0.5000 0.0000 (multiplicity 1)  2 Sb 2.86
Sb 0.5000 0.5000 0.5000 (multiplicity 1)  2 Mg 2.86

- calculated density (g cm⁻³) = 2.4
- electronic total energy (eV/cell) = -8.930
- crystal system = tetragonal

***

Compound: CsRbMgTc2
Source: Alexandria
Functional: PBE
Structure: relaxed

abc: 5.9711 5.9711 6.5321
angles: 90.00 90.00 90.00
Closest atoms and distances in Å follow each position.
Space group P4/mmm (No. 123)
Unique sites:
Cs 0.0000 0.0000 0.0000 (multiplicity 1)  2 Rb 3.27
Rb 0.0000 0.0000 0.5000 (multiplicity 1)  4 Tc 2.99, 2 Cs 3.27
Mg 0.5000 0.5000 0.0000 (multiplicity 1)  4 Cs 4.22, 8 Tc 4.42
Tc 0.0000 0.5000 0.5000 (multiplicity 2)  2 Rb 2.99

- calculated density (g cm⁻³) = 3.1
- energy of formation from the pure elements (eV/atom) = 2.458
- electronic total energy (eV/cell) = -11.858
- crystal system = tetragonal

***

Compound: CsRbMgTe2
Source: Alexandria
Functional: PBE
Structure: relaxed

abc: 6.4414 8.9662 7.6900
angles: 90.00 90.00 90.00
Closest atoms and distances in Å follow each position.
Space group Pmma (No. 51)
Unique sites:
Cs 0.2500 0.0000 0.2044 (multiplicity 2)  6 Te 3.90-4.08
Rb 0.2500 0.5000 0.4145 (multiplicity 2)  2 Rb 3.48, 2 Mg 3.57, 2 Te 3.66
Mg 0.0000 0.5000 0.0000 (multiplicity 2)  4 Te 2.92, 2 Mg 3.22
Te 0.2500 0.2797 0.8158 (multiplicity 4)  2 Mg 2.92

- calculated density (g cm⁻³) = 3.7
- electronic total energy (eV/cell) = -27.420
- crystal system = orthorhombic

***

Compound: CsRbMgTl2
Source: Alexandria
Functional: PBE
Structure: relaxed

abc: 5.7982 5.7982 6.7965
angles: 90.00 90.00 90.00
Closest atoms and distances in Å follow each position.
Space group P4/mmm (No. 123)
Unique sites:
Cs 0.0000 0.0000 0.0000 (multiplicity 1)  4 Rb 4.10, 8 Tl 4.47
Rb 0.5000 0.5000 0.0000 (multiplicity 1)  2 Mg 3.40
Mg 0.5000 0.5000 0.5000 (multiplicity 1)  4 Tl 2.90
Tl 0.0000 0.5000 0.5000 (multiplicity 2)  2 Mg 2.90

- calculated density (g cm⁻³) = 4.7
- energy of formation from the pure elements (eV/atom) = 0.116
- electronic total energy (eV/cell) = -7.567
- crystal system = tetragonal

***

Compound: CsMg2Re
Source: Alexandria
Functional: PBE
Structure: relaxed

abc: 7.4191 7.4191 7.4191
angles: 90.00 90.00 90.00
Closest atoms and distances in Å follow each position.
Space group Fm-3m (No. 225)
Unique sites:
Cs 0.0000 0.0000 0.0000 (multiplicity 4)  8 Mg 3.21
Mg 0.2500 0.2500 0.2500 (multiplicity 8)  4 Re 3.21, 4 Cs 3.21
Re 0.0000 0.0000 0.5000 (multiplicity 4)  8 Mg 3.21

- calculated density (g cm⁻³) = 6.0
- energy of formation from the pure elements (eV/atom) = 1.338
- electronic total energy (eV/cell) = -44.549
- crystal system = cubic

***

Compound: CsMgRe2Rh
Source: Alexandria
Functional: PBE
Structure: relaxed

abc: 4.8782 4.8782 5.0317
angles: 90.00 90.00 90.00
Closest atoms and distances in Å follow each position.
Space group P4/mmm (No. 123)
Unique sites:
Cs 0.0000 0.0000 0.0000 (multiplicity 1)  4 Re 2.44, 2 Mg 2.52
Mg 0.0000 0.0000 0.5000 (multiplicity 1)  2 Cs 2.52
Re 0.0000 0.5000 0.0000 (multiplicity 2)  2 Cs 2.44
Rh 0.5000 0.5000 0.5000 (multiplicity 1)  4 Mg 3.45, 8 Re 3.50

- calculated density (g cm⁻³) = 8.8
- energy of formation from the pure elements (eV/atom) = 3.524
- electronic total energy (eV/cell) = -17.077
- crystal system = tetragonal

***

Compound: CsMgRe2Si
Source: Alexandria
Functional: PBE
Structure: relaxed

abc: 4.6146 4.6146 5.8917
angles: 90.00 90.00 90.00
Closest atoms and distances in Å follow each position.
Space group P4/mmm (No. 123)
Unique sites:
Cs 0.0000 0.0000 0.0000 (multiplicity 1)  2 Si 2.95, 4 Mg 3.26
Mg 0.5000 0.5000 0.0000 (multiplicity 1)  4 Cs 3.26
Re 0.0000 0.5000 0.5000 (multiplicity 2)  2 Si 2.31
Si 0.0000 0.0000 0.5000 (multiplicity 1)  4 Re 2.31

- calculated density (g cm⁻³) = 7.4
- electronic total energy (eV/cell) = -24.654
- crystal system = tetragonal

***

> Number 11 is which compound?

CsMgRe2Rh

***

> calculated density of number 9 (CsRbMgTl2)?

4.7 g cm⁻³